# 1
# AcTb5Y2 PBE optimized geometry
data_AcTb5Y2
_chemical_formula_sum 'Ac4 Tb20 Y8'
_cell_length_a 7.4199
_cell_length_b 17.3257
_cell_length_c 8.3870
_cell_angle_alpha 90.00
_cell_angle_beta 90.00
_cell_angle_gamma 90.00
_symmetry_space_group_name_H-M 'P b a m'
_symmetry_Int_Tables_number 55
_symmetry_space_group_name_Hall '-P 2 2ab'
loop_
_atom_site_label
_atom_site_type_symbol
_atom_site_fract_x
_atom_site_fract_y
_atom_site_fract_z
Ac1 Ac 0.2473 0.1017 0.0000
Tb1 Tb 0.0000 0.0000 0.3013
Tb2 Tb 0.0001 0.2511 0.2082
Tb3 Tb 0.2491 0.8540 0.5000
Tb4 Tb 0.2500 0.3940 0.0000
Y1 Y 0.0000 0.5000 0.2991
Y2 Y 0.2492 0.1485 0.5000
# ΔH_f (0 K)	0.060	eV per atom
# final energy	-4.964	eV/atom
# energy relative to the lowest polymorph listed for this composition	0.0236	eV/atom

***

# 2
# Dy4S5F PBE optimized geometry
data_Dy4S5F
_chemical_formula_sum 'Dy8 S10 F2'
_cell_length_a 14.7393
_cell_length_b 3.9528
_cell_length_c 10.3330
_cell_angle_alpha 90.00
_cell_angle_beta 108.47
_cell_angle_gamma 90.00
_symmetry_space_group_name_H-M 'C 1 2/m 1'
_symmetry_Int_Tables_number 12
_symmetry_space_group_name_Hall '-C 2y'
loop_
_atom_site_label
_atom_site_type_symbol
_atom_site_fract_x
_atom_site_fract_y
_atom_site_fract_z
Dy1 Dy 0.0037 0.0000 0.3247
Dy2 Dy 0.1563 0.5000 0.0842
S1 S 0.0000 0.5000 0.5000
S2 S 0.1510 0.0000 0.8900
S3 S 0.1600 0.0000 0.2615
F1 F 0.0000 0.5000 0.0000
# final energy	-6.235	eV/atom

***

# 3
# La5Cd2Pb5 PBE optimized geometry
data_La5Cd2Pb5
_chemical_formula_sum 'La10 Cd4 Pb10'
_cell_length_a 17.1587
_cell_length_b 4.9125
_cell_length_c 11.4689
_cell_angle_alpha 90.00
_cell_angle_beta 128.55
_cell_angle_gamma 90.00
_symmetry_space_group_name_H-M 'C 1 2/m 1'
_symmetry_Int_Tables_number 12
_symmetry_space_group_name_Hall '-C 2y'
loop_
_atom_site_label
_atom_site_type_symbol
_atom_site_fract_x
_atom_site_fract_y
_atom_site_fract_z
La1 La 0.0000 0.0000 0.0000
La2 La 0.1030 0.0000 0.4148
La3 La 0.1898 0.0000 0.8255
Cd1 Cd 0.1395 0.5000 0.2346
Pb1 Pb 0.0000 0.5000 0.5000
Pb2 Pb 0.0706 0.5000 0.8674
Pb3 Pb 0.2376 0.5000 0.6683
# ΔH_f (0 K)	-0.515	eV per atom
# final energy	-4.266	eV/atom

***

Number 1: theoretical density 7.4 g/cm³, spin magnetization 0.0 μB per formula unit. Number 2: theoretical density 4.8 g/cm³, spin magnetization 0.0 μB per formula unit. Number 3: theoretical density 8.6 g/cm³, spin magnetization 0.0 μB per formula unit.